## TaSi2Tc (PBE-GGA)

Data for a relaxed structure of TaSi2Tc.

Unit cell a=4.005 b=2.998 c=5.057 alpha=84.50 beta=90.00 gamma=90.00
Positions (direct):
Si: 0.000 0.846 0.001
Si: 0.000 0.654 0.499
Ta: 0.500 0.250 0.250
Tc: 0.500 0.750 0.750

Results
- space-group type = P2/m, No. 10
- total magnetic moment (μB per atom) = 0.000
- energy (eV per atom) = -8.4959
- formation energy without anion corrections (eV/f.u.) = -0.919
- E above lowest polymorph (eV per formula unit) = 1.05